[1]
{
  "formula": "Tb2SnAu6",
  "functional": "PBE-GGA",
  "state": "optimized geometry",
  "vol_a3_per_cell": 203,
  "delta_e_f_ev_per_fu": -4.49,
  "dos_at_fermi_per_ev_cell": 4.61,
  "dft_energy_ev_per_atom": -4.1574,
  "total_magnetization_mub_per_cell": 0.0,
  "spacegroup": "C2/m",
  "lattice": [[7.029, -3.898, 0.000], [7.029, 3.898, 0.000], [-0.042, 0.000, 3.706]],
  "species": ["Tb", "Tb", "Sn", "Au", "Au", "Au", "Au", "Au", "Au"],
  "fractional_positions": [[0.204, 0.204, 0.497], [0.796, 0.796, 0.503], [0.500, 0.500, 0.000], [0.141, 0.548, 0.004], [0.182, 0.818, 0.500], [0.452, 0.859, 0.996], [0.548, 0.141, 0.004], [0.818, 0.182, 0.500], [0.859, 0.452, 0.996]]
}

[2]
{
  "formula": "Tb4SnAu3",
  "functional": "PBE-GGA",
  "state": "optimized geometry",
  "vol_a3_per_cell": 202,
  "delta_e_f_ev_per_fu": -6.50,
  "dos_at_fermi_per_ev_cell": 5.68,
  "dft_energy_ev_per_atom": -4.8568,
  "total_magnetization_mub_per_cell": 0.0,
  "spacegroup": "Pmm2",
  "lattice": [[3.837, 0.000, 0.000], [0.000, 4.687, 0.000], [0.000, 0.000, 11.255]],
  "species": ["Tb", "Tb", "Tb", "Tb", "Sn", "Au", "Au", "Au"],
  "fractional_positions": [[0.000, 0.000, 0.000], [0.000, 0.500, 0.267], [0.500, 0.000, 0.480], [0.500, 0.500, 0.780], [0.000, 0.000, 0.713], [0.000, 0.500, 0.537], [0.500, 0.000, 0.216], [0.500, 0.500, 0.046]]
}

[3]
{
  "formula": "Tb2SnAu",
  "functional": "PBE-GGA",
  "state": "optimized geometry",
  "vol_a3_per_cell": 212,
  "delta_e_f_ev_per_fu": -3.14,
  "dos_at_fermi_per_ev_cell": 7.20,
  "dft_energy_ev_per_atom": -4.9193,
  "total_magnetization_mub_per_cell": 0.0,
  "spacegroup": "P2_1/m",
  "lattice": [[6.135, 0.000, 0.000], [0.000, 4.487, 0.000], [-2.929, 0.000, 7.697]],
  "species": ["Tb", "Tb", "Tb", "Tb", "Sn", "Sn", "Au", "Au"],
  "fractional_positions": [[0.207, 0.250, 0.438], [0.223, 0.250, 0.917], [0.777, 0.750, 0.083], [0.793, 0.750, 0.562], [0.327, 0.750, 0.209], [0.673, 0.250, 0.791], [0.326, 0.750, 0.703], [0.674, 0.250, 0.297]]
}

[4]
{
  "formula": "Tb8Sn2Au",
  "functional": "PBE-GGA",
  "state": "optimized geometry",
  "vol_a3_per_cell": 321,
  "delta_e_f_ev_per_fu": -4.64,
  "dos_at_fermi_per_ev_cell": 10.08,
  "dft_energy_ev_per_atom": -4.8154,
  "total_magnetization_mub_per_cell": 0.0,
  "spacegroup": "C2/m",
  "lattice": [[9.706, -2.515, 0.000], [9.706, 2.515, 0.000], [-1.630, 0.000, 6.573]],
  "species": ["Tb", "Tb", "Tb", "Tb", "Tb", "Tb", "Tb", "Tb", "Sn", "Sn", "Au"],
  "fractional_positions": [[0.019, 0.019, 0.278], [0.217, 0.217, 0.823], [0.348, 0.348, 0.498], [0.407, 0.407, 0.027], [0.593, 0.593, 0.973], [0.652, 0.652, 0.502], [0.783, 0.783, 0.177], [0.981, 0.981, 0.722], [0.182, 0.182, 0.259], [0.818, 0.818, 0.741], [0.500, 0.500, 0.500]]
}